This record from Alexandria describes a relaxed structure of Li6W2O9. The functional is PBE with a Hubbard U.

a = 6.6717 Å, b = 6.6717 Å, c = 8.3161 Å
α = 108.06°, β = 108.06°, γ = 83.99°
Closest atoms and distances in Å follow each position.
Fractional coordinates of all 34 atoms:
Li  0.1381  0.4917  0.4095  6 O 2.08-2.30
Li  0.1531  0.5178  0.9136  6 O 2.01-2.20
Li  0.1597  0.1635  0.0808  6 O 2.07-2.27
Li  0.1635  0.1597  0.5808  6 O 2.07-2.27
Li  0.4822  0.8469  0.5864  6 O 2.01-2.20
Li  0.4917  0.1381  0.9095  6 O 2.08-2.30
Li  0.5083  0.8619  0.0905  6 O 2.08-2.30
Li  0.5178  0.1531  0.4136  6 O 2.01-2.20
Li  0.8365  0.8403  0.4192  6 O 2.07-2.27
Li  0.8403  0.8365  0.9192  6 O 2.07-2.27
Li  0.8469  0.4822  0.0864  6 O 2.01-2.20
Li  0.8619  0.5083  0.5905  6 O 2.08-2.30
W  0.1381  0.8619  0.2500  4 O 1.85-1.90
W  0.4910  0.5090  0.7500  4 O 1.85-2.02
W  0.5090  0.4910  0.2500  4 O 1.85-2.02
W  0.8619  0.1381  0.7500  4 O 1.85-1.90
O  0.1507  0.1786  0.8324  1 W 1.85
O  0.1691  0.8315  0.0241  1 W 1.90, 3 Li 2.01-2.12
O  0.1685  0.8309  0.4759  1 W 1.90, 3 Li 2.01-2.12
O  0.1786  0.1507  0.3324  1 W 1.85
O  0.1913  0.5197  0.1798  2 W 2.02-2.19, 3 Li 2.11-2.20
O  0.2003  0.4839  0.6689  1 W 1.85, 1 Li 2.07
O  0.4803  0.8087  0.3202  2 W 2.02-2.19, 3 Li 2.11-2.20
O  0.4839  0.2003  0.1689  1 W 1.85, 1 Li 2.07
O  0.5000  0.5000  0.0000  2 W 2.08, 4 Li 2.20-2.30
O  0.5000  0.5000  0.5000  2 W 2.08, 4 Li 2.20-2.30
O  0.5161  0.7997  0.8311  1 W 1.85, 1 Li 2.07
O  0.5197  0.1913  0.6798  2 W 2.02-2.19, 3 Li 2.11-2.20
O  0.7997  0.5161  0.3311  1 W 1.85, 1 Li 2.07
O  0.8087  0.4803  0.8202  2 W 2.02-2.19, 3 Li 2.11-2.20
O  0.8214  0.8493  0.6676  1 W 1.85
O  0.8315  0.1691  0.5241  1 W 1.90, 3 Li 2.01-2.12
O  0.8309  0.1685  0.9759  1 W 1.90, 3 Li 2.01-2.12
O  0.8493  0.8214  0.1676  1 W 1.85

## Properties
Density (g/cm3): 5.49
E (eV/cell): -212.22
DOS at the Fermi energy (states/eV per cell): 0.000